# 1
DFT (SCAN) results for a PBEsol-optimized structure of K2ScMo.

The calculated formation energy comes out at 1274 meV per atom.

a = 2.9401 Å, b = 2.9401 Å, c = 12.8165 Å
α = 90.00°, β = 90.00°, γ = 112.94°
Fractional coordinates of all 4 atoms:
K 0.0000 0.0000 0.2314
K 0.0000 0.0000 0.7686
Sc 0.5000 0.5000 0.5000
Mo 0.5000 0.5000 0.0000

=====

# 2
DFT (SCAN) results for a PBEsol-optimized structure of KZrSc2Mo.

The calculated formation energy comes out at 600 meV per atom.

a = 5.2585 Å, b = 5.2585 Å, c = 5.0166 Å
α = 90.00°, β = 90.00°, γ = 90.00°
Fractional coordinates of all 5 atoms:
K 0.0000 0.0000 0.0000
Zr 0.5000 0.5000 0.0000
Sc 0.0000 0.5000 0.5000
Sc 0.5000 0.0000 0.5000
Mo 0.5000 0.5000 0.5000

=====

# 3
DFT (SCAN) results for a PBEsol-optimized structure of KMo2Se.

The energy relative to the elements, uncorrected comes out at 1.0469 eV per atom.

a = 4.6117 Å, b = 4.6117 Å, c = 4.6117 Å
α = 60.00°, β = 60.00°, γ = 60.00°
Fractional coordinates of all 4 atoms:
K 0.0000 0.0000 0.0000
Mo 0.5000 0.5000 0.5000
Mo 0.7500 0.7500 0.7500
Se 0.2500 0.2500 0.2500

=====

# 4
DFT (SCAN) results for a PBEsol-optimized structure of KMoSe.

The energy relative to the elements, uncorrected comes out at 0.1808 eV per atom.

a = 6.8410 Å, b = 6.8410 Å, c = 6.8410 Å
α = 152.72°, β = 152.72°, γ = 38.96°
Fractional coordinates of all 3 atoms:
K 0.0000 0.0000 0.0000
Mo 0.2822 0.2822 0.0000
Se 0.6967 0.6967 0.0000

=====

# 5
DFT (SCAN) results for a PBEsol-optimized structure of KMo3Se3.

The energy relative to the elements, uncorrected comes out at -0.8085 eV per atom.

a = 9.0275 Å, b = 9.0275 Å, c = 4.4648 Å
α = 90.00°, β = 90.00°, γ = 120.00°
Fractional coordinates of all 14 atoms:
K 0.3333 0.6667 0.2500
K 0.6667 0.3333 0.7500
Mo 0.0312 0.8492 0.2500
Mo 0.1508 0.1821 0.2500
Mo 0.1821 0.0312 0.7500
Mo 0.8179 0.9688 0.2500
Mo 0.8492 0.8179 0.7500
Mo 0.9688 0.1508 0.7500
Se 0.0623 0.7024 0.7500
Se 0.2976 0.3599 0.7500
Se 0.3599 0.0623 0.2500
Se 0.6401 0.9377 0.7500
Se 0.7024 0.6401 0.2500
Se 0.9377 0.2976 0.2500

=====

# 6
DFT (SCAN) results for a PBEsol-optimized structure of KMo2Se.

The energy relative to the elements, uncorrected comes out at 0.9533 eV per atom.

a = 3.1727 Å, b = 3.1727 Å, c = 8.6271 Å
α = 90.00°, β = 90.00°, γ = 90.00°
Fractional coordinates of all 4 atoms:
K 0.0000 0.0000 0.0000
Mo 0.5000 0.5000 0.3517
Mo 0.5000 0.5000 0.6483
Se 0.0000 0.0000 0.5000

=====

# 7
DFT (SCAN) results for a PBEsol-optimized structure of KMo2Se.

The energy relative to the elements, uncorrected comes out at 1.1997 eV per atom.

a = 3.8780 Å, b = 3.8780 Å, c = 4.9459 Å
α = 90.00°, β = 90.00°, γ = 90.00°
Fractional coordinates of all 4 atoms:
K 0.0000 0.0000 0.0000
Mo 0.0000 0.5000 0.5000
Mo 0.5000 0.0000 0.5000
Se 0.5000 0.5000 0.0000

=====

# 8
DFT (SCAN) results for a PBEsol-optimized structure of K2Mo3Se18.

The energy relative to the elements, uncorrected comes out at -0.4721 eV per atom.

a = 10.2988 Å, b = 12.5683 Å, c = 10.4769 Å
α = 90.00°, β = 116.36°, γ = 90.00°
Fractional coordinates of all 46 atoms:
K 0.0811 0.0000 0.0005
K 0.2386 0.5326 0.6687
K 0.7614 0.0326 0.3313
K 0.9189 0.5000 0.9995
Mo 0.2512 0.9454 0.6559
Mo 0.4077 0.9541 0.5026
Mo 0.4514 0.4337 0.2054
Mo 0.5486 0.9337 0.7946
Mo 0.5923 0.4541 0.4974
Mo 0.7488 0.4454 0.3441
Se 0.0249 0.0336 0.6647
Se 0.0443 0.7595 0.8393
Se 0.0483 0.8048 0.6192
Se 0.0656 0.2233 0.6969
Se 0.0893 0.2599 0.9319
Se 0.1249 0.9340 0.3792
Se 0.2223 0.4907 0.9733
Se 0.2334 0.1002 0.4892
Se 0.2682 0.6796 0.9861
Se 0.3143 0.4237 0.3660
Se 0.3348 0.2499 0.1107
Se 0.3809 0.2710 0.6856
Se 0.3883 0.8997 0.9247
Se 0.3919 0.8443 0.2882
Se 0.3930 0.7917 0.6293
Se 0.4031 0.0769 0.8495
Se 0.4081 0.0302 0.2669
Se 0.4087 0.5875 0.3396
Se 0.5913 0.0875 0.6604
Se 0.5919 0.5302 0.7331
Se 0.5969 0.5769 0.1505
Se 0.6070 0.2917 0.3707
Se 0.6081 0.3443 0.7118
Se 0.6117 0.3997 0.0753
Se 0.6191 0.7710 0.3144
Se 0.6652 0.7499 0.8893
Se 0.6857 0.9237 0.6340
Se 0.7318 0.1796 0.0139
Se 0.7666 0.6002 0.5108
Se 0.7777 0.9907 0.0267
Se 0.8751 0.4340 0.6208
Se 0.9107 0.7599 0.0681
Se 0.9344 0.7233 0.3031
Se 0.9517 0.3048 0.3808
Se 0.9557 0.2595 0.1607
Se 0.9751 0.5336 0.3353

=====

# 9
DFT (SCAN) results for a PBEsol-optimized structure of KMoSe2.

The energy relative to the elements, uncorrected comes out at -0.2547 eV per atom.

a = 3.3876 Å, b = 3.3876 Å, c = 8.4391 Å
α = 90.00°, β = 90.00°, γ = 90.00°
Fractional coordinates of all 4 atoms:
K 0.0000 0.0000 0.0000
Mo 0.5000 0.5000 0.4815
Se 0.0000 0.0000 0.3694
Se 0.5000 0.5000 0.7593

=====

# 10
DFT (SCAN) results for a PBEsol-optimized structure of KMo2Se.

The energy relative to the elements, uncorrected comes out at 0.8707 eV per atom.

a = 10.1014 Å, b = 10.1014 Å, c = 10.1014 Å
α = 16.92°, β = 16.92°, γ = 16.92°
Fractional coordinates of all 4 atoms:
K 0.0000 0.0000 0.0000
Mo 0.2310 0.2310 0.2310
Mo 0.7690 0.7690 0.7690
Se 0.5000 0.5000 0.5000

=====

Short version: ρ = 3.6, 3.8, 7.4, 5.3, 5.9, 5.9, 6.9, 4.9, 5.0, 6.8 g cm⁻³, in the order given.